Compound: K2VCuSe4
Source: Alexandria via LeMat-Bulk
Functional: PBE-GGA
Structure: relaxed

Summary:
* V: 458 Å³/cell
* SG: Fddd, No. 70
* formation energy (no corrections): -0.9067 eV/atom
* uncorrected energy: -4.575 eV per atom
* total moment: 0.0 μB/f.u.

The structure in POSCAR format:
```
K2VCuSe4
1.0
-4.485 4.676 -12.121
-9.547 2.189 -7.410
2.309 6.658 -2.084
Se K Cu V
8 4 2 2
direct
0.361 0.027 0.940 Se
0.027 0.361 0.673 Se
0.673 0.940 0.027 Se
0.577 0.310 0.223 Se
0.940 0.673 0.361 Se
0.223 0.889 0.577 Se
0.889 0.223 0.310 Se
0.310 0.577 0.889 Se
0.570 0.570 0.930 K
0.930 0.930 0.570 K
0.680 0.680 0.320 K
0.320 0.320 0.680 K
0.250 0.250 0.250 Cu
0.000 0.000 0.000 Cu
0.500 0.500 0.500 V
0.750 0.750 0.750 V
```